Entry from the Alexandria database: a geometry-optimized Ba3SbAs structure (PBE-GGA).

Cell lengths 9.8571, 9.1408, 9.5334 Å; angles 90.00, 99.22, 90.00 degrees
Closest atoms and distances in Å follow each position.
Positions (direct):
Ba (0.0540, 0.0026, 0.2227)  4 As 3.29-3.52, 1 Sb 3.53
Ba (0.0540, 0.4974, 0.7227)  4 As 3.29-3.52, 1 Sb 3.53
Ba (0.2689, 0.1161, 0.5817)  2 As 3.35-3.68, 3 Sb 3.56-3.65
Ba (0.2689, 0.3839, 0.0817)  2 As 3.35-3.68, 3 Sb 3.56-3.65
Ba (0.3723, 0.7046, 0.4850)  1 As 3.22
Ba (0.3723, 0.7954, 0.9850)  1 As 3.22
Ba (0.6277, 0.2046, 0.0150)  1 As 3.22
Ba (0.6277, 0.2954, 0.5150)  1 As 3.22
Ba (0.7311, 0.6161, 0.9183)  2 As 3.35-3.68, 3 Sb 3.56-3.65
Ba (0.7311, 0.8839, 0.4183)  2 As 3.35-3.68, 3 Sb 3.56-3.65
Ba (0.9460, 0.5026, 0.2773)  4 As 3.29-3.52, 1 Sb 3.53
Ba (0.9460, 0.9974, 0.7773)  4 As 3.29-3.52, 1 Sb 3.53
Sb (0.4119, 0.0652, 0.2657)  8 Ba 3.53-3.96
Sb (0.4119, 0.4348, 0.7657)  8 Ba 3.53-3.96
Sb (0.5881, 0.5652, 0.2343)  8 Ba 3.53-3.96
Sb (0.5881, 0.9348, 0.7343)  8 Ba 3.53-3.96
As (0.0595, 0.7175, 0.0127)  6 Ba 3.22-3.52
As (0.0595, 0.7825, 0.5127)  6 Ba 3.22-3.52
As (0.9405, 0.2175, 0.4873)  6 Ba 3.22-3.52
As (0.9405, 0.2825, 0.9873)  6 Ba 3.22-3.52

Computed properties:
raw formation energy	-1038.0	meV per atom
volume	42.39	Å³/atom
uncorrected energy	-3.946	eV/atom
magnetization	0.00	μB/f.u.
energy relative to the lowest polymorph listed for this composition	0.0	meV/atom


Entry from the Alexandria database: a geometry-optimized CrCd2Au structure (PBE-GGA).

Cell lengths 3.3892, 3.3892, 6.7112 Å; angles 90.00, 90.00, 90.00 degrees
Closest atoms and distances in Å follow each position.
Positions (direct):
Cr (0.0000, 0.0000, 0.0000)  4 Au 2.79, 4 Cd 2.92
Cd (0.0000, 0.0000, 0.4667)  4 Au 2.94, 4 Cd 3.07, 1 Cr 3.13
Cd (0.5000, 0.5000, 0.7526)  4 Cr 2.92, 4 Cd 3.07, 1 Au 3.08
Au (0.5000, 0.5000, 0.2121)  4 Cr 2.79, 5 Cd 2.94-3.08

Computed properties:
volume	19.27	Å³/atom
formation energy from the elements	0.127	eV per atom
uncorrected energy	-3.556	eV/atom
magnetization	4.00	μB/f.u.
energy relative to the lowest polymorph listed for this composition	25.9	meV/atom


Entry from the Alexandria database: a geometry-optimized SnHgPd structure (PBE-GGA).

Cell lengths 4.4955, 4.4955, 3.8046 Å; angles 90.00, 90.00, 120.00 degrees
Closest atoms and distances in Å follow each position.
Positions (direct):
Sn (0.0000, 0.0000, 0.0000)  3 Pd 2.74
Hg (0.6667, 0.3333, 0.5556)  3 Pd 2.88, 3 Sn 3.10
Pd (0.3333, 0.6667, 0.2303)  3 Sn 2.74, 3 Hg 2.88

Computed properties:
volume	22.20	Å³/atom
formation energy from the elements	-0.071	eV per atom
uncorrected energy	-3.237	eV/atom
magnetization	0.00	μB/f.u.
energy relative to the lowest polymorph listed for this composition	146.9	meV/atom